# 1
The following is a meta-GGA SCAN calculation of a crystal of LaP2I relaxed with PBEsol, from the Alexandria database.

Unit cell a=5.066 b=5.066 c=5.066 alpha=60.00 beta=60.00 gamma=60.00
Positions (direct):
P 0.250 0.250 0.250
La 0.500 0.500 0.500
P 0.750 0.750 0.750
I 0.000 0.000 0.000

Values from the calculation:
- SG: Fm-3m (225)
- Formation energy (no corrections): 0.0447 eV per atom
- Uncorrected energy: -25.12 eV per atom

=====

# 2
The following is a meta-GGA SCAN calculation of a crystal of CuSbRh2 relaxed with PBEsol, from the Alexandria database.

Unit cell a=3.184 b=3.181 c=5.765 alpha=90.00 beta=90.00 gamma=90.00
Positions (direct):
Cu 0.500 0.500 0.000
Sb 0.500 0.500 0.500
Rh 0.000 0.000 0.758
Rh 0.000 0.000 0.242

Values from the calculation:
- SG: P4/mmm (123)
- Formation energy (no corrections): -0.1339 eV per atom
- Uncorrected energy: -30.13 eV per atom